Crystalline Dy3Y5Sc at its relaxed geometry. Source: the Alexandria database, functional PBE-GGA. Values from VASP.

Computed properties:
- DFT total energy (eV per atom) = -5.538
- space group = No. 140
- DOS(E_F) (states/eV/f.u.) = 13.330

Cell and atoms, written as Quantum ESPRESSO input:
```
&SYSTEM
  ibrav = 0, nat = 18, ntyp = 3
/
ATOMIC_SPECIES
Dy 162.50 Dy.upf
Y 88.91 Y.upf
Sc 44.96 Sc.upf
ATOMIC_POSITIONS angstrom
Dy 5.303 1.016 0.000
Dy 0.000 0.000 3.856
Dy 1.016 3.270 0.000
Dy 3.270 1.016 7.713
Dy 0.000 0.000 11.569
Dy -1.016 3.270 7.713
Y 0.000 0.000 0.000
Y 2.542 1.745 -2.159
Y 2.542 -1.745 5.554
Y 2.542 1.745 2.159
Y 2.542 -1.745 9.871
Y 0.000 0.000 7.713
Y 1.745 6.032 -2.159
Y 1.745 2.542 5.554
Y 1.745 6.032 2.159
Y 1.745 2.542 9.871
Sc 4.287 0.000 3.856
Sc 0.000 4.287 3.856
CELL_PARAMETERS angstrom
-4.287 4.287 7.713
4.287 -4.287 7.713
4.287 4.287 -7.713
```